Record 1
First-principles (GGA-PBE) data for a geometry-optimized MnBeTe2I structure, as listed in Alexandria via LeMat-Bulk.

Lattice parameters (Å, degrees): 5.0098 5.0098 5.0689 90.00 90.00 90.00
Closest atoms and distances in Å follow each position.
Element x y z (fractional)
Mn  0.5000  0.5000  0.5000  4 I 3.54, 8 Te 3.56
Be  0.0000  0.0000  0.0000  4 Te 2.50, 2 I 2.53
I  0.0000  0.0000  0.5000  2 Be 2.53
Te  0.0000  0.5000  0.0000  2 Be 2.50
Te  0.5000  0.0000  0.0000  2 Be 2.50

Calculated values
The calculated total energy comes out at -3.06 eV per atom. Its formation energy (no corrections) is 522 kJ/mol of formula units.

---

Record 2
First-principles (GGA-PBE) data for a geometry-optimized MnBeTeI2 structure, as listed in Alexandria via LeMat-Bulk.

Lattice parameters (Å, degrees): 5.1554 5.1554 5.3182 90.00 90.00 90.00
Closest atoms and distances in Å follow each position.
Element x y z (fractional)
I  0.5000  0.0000  0.0000  2 Be 2.58
Mn  0.5000  0.5000  0.5000  4 Te 3.65, 8 I 3.70
I  0.0000  0.5000  0.0000  2 Be 2.58
Be  0.0000  0.0000  0.0000  4 I 2.58, 2 Te 2.66
Te  0.0000  0.0000  0.5000  2 Be 2.66

Calculated values
The calculated total energy comes out at -3.36 eV per atom. Its formation energy (no corrections) is 225 kJ/mol of formula units.

---

Record 3
First-principles (GGA-PBE) data for a geometry-optimized MnBeTe2I structure, as listed in Alexandria via LeMat-Bulk.

Lattice parameters (Å, degrees): 4.9135 4.9135 5.6977 90.00 90.00 90.00
Closest atoms and distances in Å follow each position.
Element x y z (fractional)
Mn  0.0000  0.0000  0.0000  4 Te 2.46
Te  0.5000  0.0000  0.0000  2 Mn 2.46
Te  0.0000  0.5000  0.0000  2 Mn 2.46
Be  0.5000  0.5000  0.5000  4 I 3.47, 8 Te 3.76
I  0.0000  0.0000  0.5000  2 Mn 2.85

Calculated values
The calculated total energy comes out at -3.36 eV per atom. Its formation energy (no corrections) is 380 kJ/mol of formula units.

---

Record 4
First-principles (GGA-PBE) data for a geometry-optimized MnBeTeI2 structure, as listed in Alexandria via LeMat-Bulk.

Lattice parameters (Å, degrees): 5.5185 5.5185 4.8373 90.00 90.00 90.00
Closest atoms and distances in Å follow each position.
Element x y z (fractional)
Te  0.0000  0.0000  0.5000  2 Mn 2.42
I  0.0000  0.5000  0.0000  2 Mn 2.76
Be  0.5000  0.5000  0.5000  8 I 3.67, 4 Te 3.90
I  0.5000  0.0000  0.0000  2 Mn 2.76
Mn  0.0000  0.0000  0.0000  2 Te 2.42

Calculated values
The calculated total energy comes out at -2.93 eV per atom. Its formation energy (no corrections) is 431 kJ/mol of formula units.

---

What did the second record say?
First-principles (GGA-PBE) data for a geometry-optimized MnBeTeI2 structure, as listed in Alexandria via LeMat-Bulk.

Lattice parameters (Å, degrees): 5.1554 5.1554 5.3182 90.00 90.00 90.00
Closest atoms and distances in Å follow each position.
Element x y z (fractional)
I  0.5000  0.0000  0.0000  2 Be 2.58
Mn  0.5000  0.5000  0.5000  4 Te 3.65, 8 I 3.70
I  0.0000  0.5000  0.0000  2 Be 2.58
Be  0.0000  0.0000  0.0000  4 I 2.58, 2 Te 2.66
Te  0.0000  0.0000  0.5000  2 Be 2.66

Calculated values
The calculated total energy comes out at -3.36 eV per atom. Its formation energy (no corrections) is 225 kJ/mol of formula units.

---

Q: Look up the calculated total energy of the fourth one.
A: -2.93 eV per atom